1.
Entry from the Alexandria database: crystalline Rb2SbAs at its relaxed geometry (PBE).

Formation energy without anion corrections: 0.6 eV/f.u.
Total magnetization: 0.00 μB per atom

Lattice parameters (Å, degrees): 5.9320 5.9320 5.9320 60.00 60.00 60.00
Atoms (fractional coordinates):
Rb 0.7500 0.7500 0.7500
Rb 0.2500 0.2500 0.2500
As 0.0000 0.0000 0.0000
Sb 0.5000 0.5000 0.5000



2.
Entry from the Alexandria database: crystalline RbSb2As2 at its relaxed geometry (PBE).

Formation energy without anion corrections: 0.2 eV/f.u.
Total magnetization: 0.00 μB per atom

Lattice parameters (Å, degrees): 4.6279 4.6279 7.6639 72.43 72.43 90.00
Atoms (fractional coordinates):
Rb 0.0000 0.0000 0.0000
As 0.4139 0.4139 0.1721
As 0.5861 0.5861 0.8279
Sb 0.7500 0.2500 0.5000
Sb 0.2500 0.7500 0.5000



3.
Entry from the Alexandria database: crystalline Rb3Sb2As2 at its relaxed geometry (PBE).

Formation energy without anion corrections: -2.3 eV/f.u.
Total magnetization: 0.00 μB per atom

Lattice parameters (Å, degrees): 4.3328 6.8343 10.7422 83.44 78.36 71.52
Atoms (fractional coordinates):
Sb 0.8286 0.9081 0.4346
Sb 0.1714 0.0919 0.5654
As 0.2662 0.4286 0.0390
As 0.7338 0.5714 0.9610
Rb 0.0000 0.0000 0.0000
Rb 0.6161 0.4609 0.3069
Rb 0.3839 0.5391 0.6931



4.
Entry from the Alexandria database: crystalline RbSb2As2 at its relaxed geometry (PBE).

Formation energy without anion corrections: -0.3 eV/f.u.
Total magnetization: 0.00 μB per atom

Lattice parameters (Å, degrees): 6.8510 7.7661 8.1791 83.08 65.26 63.95
Atoms (fractional coordinates):
As 0.4801 0.2588 0.0012
As 0.7394 0.2395 0.4975
As 0.2606 0.7605 0.5025
As 0.5199 0.7412 0.9988
Sb 0.5412 0.4613 0.2393
Sb 0.2416 0.0400 0.2616
Sb 0.4588 0.5387 0.7607
Sb 0.7584 0.9600 0.7384
Rb 0.8891 0.7492 0.2503
Rb 0.1109 0.2508 0.7497



5.
Entry from the Alexandria database: crystalline RbSbAs at its relaxed geometry (PBE).

Formation energy without anion corrections: -0.8 eV/f.u.
Total magnetization: 0.00 μB per atom

Lattice parameters (Å, degrees): 9.1962 7.4854 12.6154 90.00 143.52 90.00
Atoms (fractional coordinates):
Sb 0.3476 0.1813 0.8361
Sb 0.6524 0.8187 0.1639
Sb 0.6524 0.6813 0.6639
Sb 0.3476 0.3187 0.3361
Rb 0.7572 0.3019 0.3025
Rb 0.2428 0.6981 0.6975
Rb 0.7572 0.1981 0.8025
Rb 0.2428 0.8019 0.1975
As 0.2362 0.5085 0.4359
As 0.2362 0.9915 0.9359
As 0.7638 0.4915 0.5641
As 0.7638 0.0085 0.0641



6.
Entry from the Alexandria database: crystalline RbSb2As at its relaxed geometry (PBE).

Formation energy without anion corrections: -0.7 eV/f.u.
Total magnetization: 0.00 μB per atom

Lattice parameters (Å, degrees): 5.6352 7.8059 13.9123 74.38 90.00 90.00
Atoms (fractional coordinates):
Sb 0.1504 0.0647 0.0643
Sb 0.8496 0.9353 0.9357
Sb 0.7092 0.8872 0.5482
Sb 0.7908 0.3872 0.0482
Sb 0.2092 0.6128 0.9518
Sb 0.2908 0.1128 0.4518
Sb 0.3496 0.5647 0.5643
Sb 0.6504 0.4353 0.4357
As 0.5678 0.7128 0.0624
As 0.4322 0.2872 0.9376
As 0.0678 0.7872 0.4376
As 0.9322 0.2128 0.5624
Rb 0.1358 0.5294 0.2447
Rb 0.8642 0.4706 0.7553
Rb 0.6358 0.9706 0.2553
Rb 0.3642 0.0294 0.7447



7.
Entry from the Alexandria database: crystalline Rb3SbAs at its relaxed geometry (PBE).

Formation energy without anion corrections: 0.5 eV/f.u.
Total magnetization: 0.60 μB per atom

Lattice parameters (Å, degrees): 6.5971 6.5971 6.5971 90.00 90.00 90.00
Last column: magnetic moment on the atom in μB.
Atoms (fractional coordinates):
Rb 0.0000 0.5000 0.0000  0.02
Rb 0.0000 0.0000 0.5000  0.03
Rb 0.5000 0.0000 0.0000  0.01
Sb 0.5000 0.5000 0.5000  0.57
As 0.0000 0.0000 0.0000  0.49



8.
Entry from the Alexandria database: crystalline RbSb2As2 at its relaxed geometry (PBE).

Formation energy without anion corrections: 0.5 eV/f.u.
Total magnetization: 0.00 μB per atom

Lattice parameters (Å, degrees): 8.5814 8.5814 3.8884 90.00 90.00 90.00
Atoms (fractional coordinates):
As 0.8655 0.6345 0.0000
As 0.3655 0.8655 0.0000
As 0.6345 0.1345 0.0000
As 0.1345 0.3655 0.0000
Sb 0.8670 0.3670 0.5000
Sb 0.6330 0.8670 0.5000
Sb 0.3670 0.1330 0.5000
Sb 0.1330 0.6330 0.5000
Rb 0.0000 0.0000 0.0000
Rb 0.5000 0.5000 0.0000



9.
Entry from the Alexandria database: crystalline Rb2SbAs at its relaxed geometry (PBE).

Formation energy without anion corrections: -1.5 eV/f.u.
Total magnetization: 0.00 μB per atom

Lattice parameters (Å, degrees): 4.2612 6.7267 6.7267 62.65 71.56 71.56
Atoms (fractional coordinates):
Sb 0.2500 0.1960 0.3040
Rb 0.4488 0.4779 0.6245
Rb 0.0512 0.8755 0.0221
As 0.7500 0.9507 0.5493



10.
Entry from the Alexandria database: crystalline RbSb5As4 at its relaxed geometry (PBE).

Formation energy without anion corrections: -0.2 eV/f.u.
Total magnetization: 0.00 μB per atom

Lattice parameters (Å, degrees): 4.8183 11.3636 12.0467 90.00 90.00 90.00
Atoms (fractional coordinates):
As 0.8691 0.0000 0.6887
As 0.3208 0.2478 0.5000
As 0.1309 0.5000 0.8113
As 0.1309 0.5000 0.1887
As 0.6792 0.7478 0.0000
As 0.3208 0.7522 0.5000
As 0.8691 0.0000 0.3113
As 0.6792 0.2522 0.0000
Sb 0.6957 0.7720 0.3397
Sb 0.8045 0.5000 0.0000
Sb 0.1955 0.0000 0.5000
Sb 0.3043 0.2720 0.1603
Sb 0.3043 0.7280 0.8397
Sb 0.3043 0.7280 0.1603
Sb 0.6957 0.2280 0.3397
Sb 0.6957 0.7720 0.6603
Sb 0.6957 0.2280 0.6603
Sb 0.3043 0.2720 0.8397
Rb 0.0949 0.0000 0.0000
Rb 0.9051 0.5000 0.5000



11.
Entry from the Alexandria database: crystalline RbSb2As at its relaxed geometry (PBE).

Formation energy without anion corrections: -0.1 eV/f.u.
Total magnetization: 0.00 μB per atom

Lattice parameters (Å, degrees): 8.3946 8.3946 7.3599 55.23 55.23 90.00
Atoms (fractional coordinates):
Sb 0.5259 0.1250 0.2500
Sb 0.3750 0.4741 0.7500
Sb 0.2241 0.6250 0.2500
Sb 0.8750 0.7759 0.7500
Rb 0.7500 0.2500 0.5000
Rb 0.0000 0.0000 0.0000
As 0.2500 0.7500 0.5000
As 0.5000 0.5000 0.0000



12.
Entry from the Alexandria database: crystalline Rb2Sb2As at its relaxed geometry (PBE).

Formation energy without anion corrections: -1.3 eV/f.u.
Total magnetization: 0.00 μB per atom

Lattice parameters (Å, degrees): 6.9005 6.9994 9.4255 101.59 90.00 119.53
Atoms (fractional coordinates):
As 0.1221 0.0000 0.7500
As 0.8779 0.0000 0.2500
Rb 0.2497 0.6993 0.3384
Rb 0.7503 0.3007 0.6616
Rb 0.5504 0.3007 0.1616
Rb 0.4496 0.6993 0.8384
Sb 0.1990 0.2146 0.4904
Sb 0.8010 0.7854 0.5096
Sb 0.0156 0.2146 0.9904
Sb 0.9844 0.7854 0.0096